Entry from Alexandria: crystalline ScMnTe2 at its relaxed geometry (GGA-PBE).

a = 4.0413 Å, b = 4.0413 Å, c = 12.0913 Å
α = 90.00°, β = 90.00°, γ = 90.00°
With the nearest neighbours (Å) after each atom.
Space group I-4m2 (No. 119)
Unique sites:
Sc  0.0000  0.0000  0.0000 (multiplicity 2)  4 Te 2.86
Mn  0.0000  0.5000  0.2500 (multiplicity 2)  4 Te 2.86
Te  0.0000  0.0000  0.5000 (multiplicity 2)  4 Sc 2.86
Te  0.0000  0.5000  0.7500 (multiplicity 2)  4 Mn 2.86

Energy relative to the elements, uncorrected in eV per atom: -0.2865
Raw total energy in Ha/atom: -0.2107


Entry from Alexandria: crystalline TmCd4In at its relaxed geometry (GGA-PBE).

a = 5.0235 Å, b = 8.7017 Å, c = 6.5432 Å
α = 90.00°, β = 90.11°, γ = 90.00°
With the nearest neighbours (Å) after each atom.
Space group C2/m (No. 12)
Unique sites:
Tm  0.0000  0.0000  0.0000 (multiplicity 2)  2 In 3.27, 12 Cd 3.29-3.30
Cd  0.0007  0.3329  0.2383 (multiplicity 8)  4 Cd 2.90-3.12
In  0.0000  0.0000  0.5000 (multiplicity 2)  2 Tm 3.27, 12 Cd 3.36-3.37

ΔE_f in eV/f.u.: -1.13
Energy relative to the lowest polymorph listed for this composition in meV per atom: 0
Raw total energy in Ha/atom: -0.0735


Entry from Alexandria: crystalline SrY2InAs at its relaxed geometry (GGA-PBE).

a = 5.4697 Å, b = 5.4697 Å, c = 5.7136 Å
α = 90.00°, β = 90.00°, γ = 90.00°
With the nearest neighbours (Å) after each atom.
Space group P4/mmm (No. 123)
Unique sites:
Sr  0.0000  0.0000  0.0000 (multiplicity 1)  4 In 3.87, 8 Y 3.95
Y  0.0000  0.5000  0.5000 (multiplicity 2)  2 As 2.73
In  0.5000  0.5000  0.0000 (multiplicity 1)  2 As 2.86
As  0.5000  0.5000  0.5000 (multiplicity 1)  4 Y 2.73, 2 In 2.86

ΔE_f in eV/f.u.: -1.32
Raw total energy in Ha/atom: -0.1714


Entry from Alexandria: crystalline La2TbDySe6 at its relaxed geometry (GGA-PBE).

a = 7.4495 Å, b = 7.4495 Å, c = 19.5183 Å
α = 90.00°, β = 90.00°, γ = 120.00°
With the nearest neighbours (Å) after each atom.
Space group R3 (No. 146, hexagonal axes)
Unique sites:
La  0.0000  0.0000  0.0000 (multiplicity 3)  6 Se 3.00-3.07
La  0.0000  0.0000  0.4999 (multiplicity 3)  6 Se 2.99-3.07
Tb  0.0000  0.0000  0.2954 (multiplicity 3)  6 Se 2.85-2.91
Dy  0.0000  0.0000  0.7956 (multiplicity 3)  6 Se 2.84-2.90
Se  0.0219  0.6394  0.0585 (multiplicity 9)  1 Dy 2.84, 1 Tb 2.91, 2 La 3.00-3.07
Se  0.0235  0.3831  0.5582 (multiplicity 9)  1 Tb 2.85, 1 Dy 2.90, 2 La 2.99-3.07

Energy relative to the elements, uncorrected in eV per atom: -1.9193
Raw total energy in Ha/atom: -0.2175


Entry from Alexandria: crystalline SiOs2Cl at its relaxed geometry (GGA-PBE).

a = 5.6973 Å, b = 8.2619 Å, c = 2.8924 Å
α = 90.00°, β = 119.48°, γ = 90.00°
With the nearest neighbours (Å) after each atom.
Space group C2/m (No. 12)
Unique sites:
Si  0.0000  0.0000  0.0000 (multiplicity 2)  4 Os 2.51
Os  0.2500  0.2500  0.0000 (multiplicity 4)  2 Cl 2.51, 2 Si 2.51
Cl  0.0000  0.5000  0.0000 (multiplicity 2)  4 Os 2.51

Energy relative to the elements, uncorrected in eV per atom: 0.8843
Energy relative to the lowest polymorph listed for this composition in meV per atom: 559
Raw total energy in Ha/atom: -0.2406


Entry from Alexandria: crystalline TaIr6Os at its relaxed geometry (GGA-PBE).

a = 5.5202 Å, b = 5.5202 Å, c = 3.8940 Å
α = 90.00°, β = 90.00°, γ = 90.00°
With the nearest neighbours (Å) after each atom.
Space group P4/mmm (No. 123)
Unique sites:
Ta  0.0000  0.0000  0.0000 (multiplicity 1)  12 Ir 2.76-2.78
Ir  0.0000  0.5000  0.0000 (multiplicity 2)  8 Ir 2.76, 2 Ta 2.76, 2 Os 2.76
Ir  0.2540  0.2540  0.5000 (multiplicity 4)  8 Ir 2.72-2.80, 2 Os 2.73, 2 Ta 2.78
Os  0.5000  0.5000  0.0000 (multiplicity 1)  12 Ir 2.73-2.76

ΔE_f in eV/f.u.: -2.05
Raw total energy in Ha/atom: -0.3597


Entry from Alexandria: crystalline LaNd3In4 at its relaxed geometry (GGA-PBE).

a = 3.6319 Å, b = 7.4054 Å, c = 18.9911 Å
α = 90.00°, β = 90.00°, γ = 90.00°
With the nearest neighbours (Å) after each atom.
Space group Immm (No. 71)
Unique sites:
La  0.0000  0.0000  0.0000 (multiplicity 2)  4 In 3.29, 2 La 3.63
Nd  0.0000  0.0000  0.5000 (multiplicity 2)  8 In 3.39, 2 Nd 3.63
Nd  0.0000  0.5000  0.2859 (multiplicity 4)  6 In 3.29-3.34, 2 Nd 3.63
In  0.0000  0.2978  0.1287 (multiplicity 8)  1 In 2.99, 3 Nd 3.29-3.34, 1 La 3.29

ΔE_f in eV/f.u.: -2.57
Energy relative to the lowest polymorph listed for this composition in meV per atom: 176
Raw total energy in Ha/atom: -0.1505


Entry from Alexandria: crystalline K3Hg7Au4 at its relaxed geometry (GGA-PBE).

a = 18.0208 Å, b = 4.8615 Å, c = 10.5837 Å
α = 90.00°, β = 124.54°, γ = 90.00°
With the nearest neighbours (Å) after each atom.
Space group C2/m (No. 12)
Unique sites:
K  0.0000  0.0000  0.0000 (multiplicity 2)  6 Au 3.45-3.61, 2 Hg 3.75
K  0.1918  0.5000  0.6949 (multiplicity 4)  10 Hg 3.45-3.74, 4 Au 3.47-3.51
Hg  0.0000  0.0000  0.5000 (multiplicity 2)  2 Au 2.94
Hg  0.0020  0.5000  0.2883 (multiplicity 4)  3 Au 2.90-3.04, 1 Hg 3.14
Hg  0.1597  0.0000  0.4290 (multiplicity 4)  3 Au 2.93-3.01
Hg  0.1840  0.5000  0.0321 (multiplicity 4)  4 Au 2.84-2.97, 1 Hg 3.14
Au  0.1204  0.0000  0.8372 (multiplicity 4)  6 Hg 2.94-3.04
Au  0.1577  0.5000  0.2723 (multiplicity 4)  5 Hg 2.84-3.01

ΔE_f in eV/f.u.: -2.98
Raw total energy in Ha/atom: -0.0564


Entry from Alexandria: crystalline Pa3Fe2Ge3 at its relaxed geometry (GGA-PBE).

a = 7.5608 Å, b = 14.4021 Å, c = 5.5178 Å
α = 90.00°, β = 90.00°, γ = 90.00°
With the nearest neighbours (Å) after each atom.
Space group Pnma (No. 62)
Unique sites:
Pa  0.0359  0.1084  0.1132 (multiplicity 8)  3 Fe 2.92-3.03, 7 Ge 2.96-3.15
Pa  0.1729  0.2500  0.6368 (multiplicity 4)  4 Fe 2.85-2.93, 5 Ge 2.95-3.06
Fe  0.1013  0.6140  0.3818 (multiplicity 8)  4 Ge 2.42-2.61
Ge  0.1766  0.7500  0.6298 (multiplicity 4)  2 Fe 2.46
Ge  0.1839  0.0381  0.6117 (multiplicity 8)  3 Fe 2.42-2.61

ΔE_f in eV/f.u.: -3.54
Raw total energy in Ha/atom: -0.2885


Entry from Alexandria: crystalline Y3P at its relaxed geometry (GGA-PBE).

a = 8.9281 Å, b = 12.4809 Å, c = 3.9297 Å
α = 90.00°, β = 90.00°, γ = 90.00°
With the nearest neighbours (Å) after each atom.
Space group Cmcm (No. 63)
Unique sites:
Y  0.0000  0.1093  0.2500 (multiplicity 4)  2 P 2.76
Y  0.1930  0.3667  0.2500 (multiplicity 8)  3 P 2.91-3.19
P  0.0000  0.2640  0.7500 (multiplicity 4)  6 Y 2.76-2.91

ΔE_f in eV/f.u.: -2.61
Energy relative to the lowest polymorph listed for this composition in meV per atom: 52
Raw total energy in Ha/atom: -0.2519


Entry from Alexandria: crystalline Tm4S at its relaxed geometry (GGA-PBE).

a = 5.2147 Å, b = 5.2147 Å, c = 5.2147 Å
α = 90.00°, β = 90.00°, γ = 90.00°
With the nearest neighbours (Å) after each atom.
Space group Pm-3m (No. 221)
Unique sites:
Tm  0.0000  0.0000  0.0000 (multiplicity 1)  12 Tm 3.69
Tm  0.0000  0.5000  0.5000 (multiplicity 3)  2 S 2.61
S  0.5000  0.5000  0.5000 (multiplicity 1)  6 Tm 2.61

Energy relative to the elements, uncorrected in eV per atom: -0.6039
Raw total energy in Ha/atom: -0.1840


Entry from Alexandria: crystalline Y2ZnMo at its relaxed geometry (GGA-PBE).

a = 4.3436 Å, b = 3.9953 Å, c = 10.8298 Å
α = 90.00°, β = 90.00°, γ = 90.00°
With the nearest neighbours (Å) after each atom.
Space group Amm2 (No. 38)
Unique sites:
Y  0.0000  0.0000  0.0000 (multiplicity 2)  3 Mo 3.04-3.12, 4 Zn 3.07
Y  0.5000  0.0000  0.2910 (multiplicity 2)  3 Zn 3.05-3.11, 4 Mo 3.07
Zn  0.5000  0.0000  0.5779 (multiplicity 2)  2 Mo 2.61
Mo  0.0000  0.0000  0.7116 (multiplicity 2)  2 Zn 2.61

ΔE_f in eV/f.u.: 0.35
Raw total energy in Ha/atom: -0.2268


Entry from Alexandria: crystalline PmErTiAl at its relaxed geometry (GGA-PBE).

a = 7.3194 Å, b = 7.3194 Å, c = 7.3194 Å
α = 90.00°, β = 90.00°, γ = 90.00°
With the nearest neighbours (Å) after each atom.
Space group F-43m (No. 216)
Unique sites:
Pm  0.0000  0.0000  0.0000 (multiplicity 4)  4 Al 3.17, 4 Ti 3.17
Er  0.0000  0.0000  0.5000 (multiplicity 4)  4 Al 3.17, 4 Ti 3.17
Ti  0.2500  0.2500  0.2500 (multiplicity 4)  4 Er 3.17, 4 Pm 3.17
Al  0.2500  0.2500  0.7500 (multiplicity 4)  4 Er 3.17, 4 Pm 3.17

ΔE_f in eV/f.u.: -0.11
Raw total energy in Ha/atom: -0.1935


Entry from Alexandria: crystalline BeTcPRu at its relaxed geometry (GGA-PBE).

a = 5.7246 Å, b = 5.7246 Å, c = 5.7246 Å
α = 90.00°, β = 90.00°, γ = 90.00°
With the nearest neighbours (Å) after each atom.
Space group F-43m (No. 216)
Unique sites:
Be  0.0000  0.0000  0.0000 (multiplicity 4)  4 Tc 2.48, 4 Ru 2.48
Tc  0.2500  0.2500  0.7500 (multiplicity 4)  4 Be 2.48, 4 P 2.48
P  0.0000  0.0000  0.5000 (multiplicity 4)  4 Tc 2.48, 4 Ru 2.48
Ru  0.2500  0.2500  0.2500 (multiplicity 4)  4 Be 2.48, 4 P 2.48

ΔE_f in eV/f.u.: -1.39
Raw total energy in Ha/atom: -0.2771


Entry from Alexandria: crystalline NiAgSe2 at its relaxed geometry (GGA-PBE).

a = 5.9854 Å, b = 6.8133 Å, c = 3.4372 Å
α = 90.00°, β = 90.00°, γ = 90.00°
With the nearest neighbours (Å) after each atom.
Space group Cmmm (No. 65)
Unique sites:
Ni  0.0000  0.0000  0.0000 (multiplicity 2)  8 Se 2.84, 2 Ag 2.99
Ag  0.0000  0.5000  0.0000 (multiplicity 2)  8 Se 2.84, 2 Ni 2.99
Se  0.2500  0.2500  0.5000 (multiplicity 4)  4 Ni 2.84, 4 Ag 2.84, 2 Se 2.99

Energy relative to the elements, uncorrected in eV per atom: 0.3061
Energy relative to the lowest polymorph listed for this composition in meV per atom: 453
Raw total energy in Ha/atom: -0.1321


Entry from Alexandria: crystalline Cr3CdCl at its relaxed geometry (GGA-PBE).

a = 4.1857 Å, b = 4.1857 Å, c = 4.1857 Å
α = 90.00°, β = 90.00°, γ = 90.00°
With the nearest neighbours (Å) after each atom.
Space group Pm-3m (No. 221)
Unique sites:
Cr  0.0000  0.0000  0.5000 (multiplicity 3)  2 Cl 2.09
Cd  0.5000  0.5000  0.5000 (multiplicity 1)  12 Cr 2.96
Cl  0.0000  0.0000  0.0000 (multiplicity 1)  6 Cr 2.09

Energy relative to the elements, uncorrected in eV per atom: 0.8251
Energy relative to the lowest polymorph listed for this composition in meV per atom: 0
Raw total energy in Ha/atom: -0.2022


Entry from Alexandria: crystalline CsTmZnO3 at its relaxed geometry (GGA-PBE).

a = 8.1282 Å, b = 3.5410 Å, c = 8.5428 Å
α = 90.00°, β = 110.56°, γ = 90.00°
With the nearest neighbours (Å) after each atom.
Space group P2_1/m (No. 11)
Unique sites:
Cs  0.2203  0.2500  0.2324 (multiplicity 2)  5 O 3.04-3.39
Tm  0.3406  0.7500  0.8627 (multiplicity 2)  5 O 2.17-2.31
Zn  0.0768  0.2500  0.6191 (multiplicity 2)  4 O 1.93-2.05
O  0.1577  0.2500  0.8598 (multiplicity 2)  1 Zn 1.93
O  0.1675  0.7500  0.5606 (multiplicity 2)  3 Zn 2.04-2.05
O  0.4814  0.7500  0.1309 (multiplicity 2)  3 Tm 2.17-2.27

Energy relative to the elements, uncorrected in eV per atom: -2.2465
Raw total energy in Ha/atom: -0.2141


Entry from Alexandria: crystalline HoScNi at its relaxed geometry (GGA-PBE).

a = 4.6320 Å, b = 11.8835 Å, c = 6.8705 Å
α = 90.00°, β = 90.00°, γ = 90.00°
With the nearest neighbours (Å) after each atom.
Space group Amm2 (No. 38)
Unique sites:
Ho  0.0000  0.0000  0.0000 (multiplicity 2)  1 Ni 2.77
Ho  0.0000  0.2017  0.6046 (multiplicity 4)  1 Ni 2.77
Sc  0.5000  0.0000  0.6673 (multiplicity 2)  2 Ni 2.56
Sc  0.5000  0.1322  0.2712 (multiplicity 4)  2 Ni 2.56
Ni  0.0000  0.0000  0.4030 (multiplicity 2)  3 Ho 2.77, 6 Sc 2.94
Ni  0.5000  0.1666  0.9034 (multiplicity 4)  3 Sc 2.56

ΔE_f in eV/f.u.: -0.99
Energy relative to the lowest polymorph listed for this composition in meV per atom: 0
Raw total energy in Ha/atom: -0.2166


Entry from Alexandria: crystalline Cs2MgS2 at its relaxed geometry (GGA-PBE).

a = 3.9739 Å, b = 3.9739 Å, c = 24.5382 Å
α = 90.00°, β = 90.00°, γ = 90.00°
With the nearest neighbours (Å) after each atom.
Space group I4/mmm (No. 139)
Unique sites:
Cs  0.0000  0.0000  0.1408 (multiplicity 4)  4 S 3.34
Mg  0.0000  0.0000  0.5000 (multiplicity 2)  4 Mg 3.97
S  0.0000  0.5000  0.2500 (multiplicity 4)  4 S 2.81

Energy relative to the elements, uncorrected in eV per atom: -0.0637
Raw total energy in Ha/atom: -0.0873


Entry from Alexandria: crystalline NiAgAs2 at its relaxed geometry (GGA-PBE).

a = 4.2727 Å, b = 4.2727 Å, c = 3.6073 Å
α = 90.00°, β = 90.00°, γ = 90.00°
With the nearest neighbours (Å) after each atom.
Space group P4/mmm (No. 123)
Unique sites:
Ni  0.0000  0.0000  0.0000 (multiplicity 1)  8 As 2.80, 4 Ag 3.02
Ag  0.5000  0.5000  0.0000 (multiplicity 1)  8 As 2.80, 4 Ni 3.02
As  0.0000  0.5000  0.5000 (multiplicity 2)  4 Ni 2.80, 4 Ag 2.80, 4 As 3.02

ΔE_f in eV/f.u.: 0.88
Energy relative to the lowest polymorph listed for this composition in meV per atom: 218
Raw total energy in Ha/atom: -0.1567